# 1
SrBeNiP2 after structural relaxation. Source: OQMD, functional PBE-GGA.

Unit cell a=6.5074 b=6.5074 c=6.5074 alpha=146.58 beta=146.58 gamma=47.99
Last column: nearest neighbours and their distance in Å.
Fractional coordinates of all 5 atoms:
Sr 0.0000 0.0000 0.0000  8 P 3.16, 4 Be 3.51, 4 Ni 3.51
Be 0.7500 0.2500 0.5000  4 P 2.25
Ni 0.2500 0.7500 0.5000  4 P 2.25
P 0.3546 0.3546 0.0000  2 Ni 2.25, 2 Be 2.25
P 0.6454 0.6454 0.0000  2 Be 2.25, 2 Ni 2.25

# 2
BeNiPb after structural relaxation. Source: OQMD, functional PBE-GGA.

Unit cell a=4.2175 b=4.2175 c=4.2175 alpha=60.00 beta=60.00 gamma=60.00
Last column: nearest neighbours and their distance in Å.
Fractional coordinates of all 3 atoms:
Be 0.0000 0.0000 0.0000  4 Pb 2.58
Ni 0.5000 0.5000 0.5000  4 Pb 2.58
Pb 0.2500 0.2500 0.2500  4 Be 2.58, 4 Ni 2.58

# 3
BeNiPb2 after structural relaxation. Source: OQMD, functional PBE-GGA.

Unit cell a=4.8844 b=4.8844 c=4.8844 alpha=60.00 beta=60.00 gamma=60.00
Last column: nearest neighbours and their distance in Å.
Fractional coordinates of all 4 atoms:
Be 0.0000 0.0000 0.0000  4 Pb 2.99, 4 Ni 2.99
Ni 0.2500 0.2500 0.2500  4 Pb 2.99, 4 Be 2.99
Pb 0.5000 0.5000 0.5000  4 Pb 2.99, 4 Ni 2.99
Pb 0.7500 0.7500 0.7500  4 Be 2.99, 4 Pb 2.99

# 4
Be2NiPb after structural relaxation. Source: OQMD, functional PBE-GGA.

Unit cell a=4.2695 b=4.2695 c=4.2695 alpha=60.00 beta=60.00 gamma=60.00
Last column: nearest neighbours and their distance in Å.
Fractional coordinates of all 4 atoms:
Be 0.0000 0.0000 0.0000  4 Ni 2.61, 4 Be 2.61
Be 0.2500 0.2500 0.2500  4 Pb 2.61, 4 Be 2.61
Ni 0.7500 0.7500 0.7500  4 Be 2.61, 4 Pb 2.61
Pb 0.5000 0.5000 0.5000  4 Ni 2.61, 4 Be 2.61

# 5
BeNiPtPb after structural relaxation. Source: OQMD, functional PBE-GGA.

Relative energy among the computed polymorphs in meV/atom: 2.2

Unit cell a=4.4229 b=4.4229 c=4.4229 alpha=60.00 beta=60.00 gamma=60.00
Last column: nearest neighbours and their distance in Å.
Fractional coordinates of all 4 atoms:
Be 0.0000 0.0000 0.0000  4 Ni 2.71, 4 Pt 2.71
Ni 0.7500 0.7500 0.7500  4 Pb 2.71, 4 Be 2.71
Pt 0.2500 0.2500 0.2500  4 Pb 2.71, 4 Be 2.71
Pb 0.5000 0.5000 0.5000  4 Ni 2.71, 4 Pt 2.71

# 6
BeNiPtPb after structural relaxation. Source: OQMD, functional PBE-GGA.

Relative energy among the computed polymorphs in meV/atom: 0.0

Unit cell a=4.3902 b=4.3902 c=4.3902 alpha=60.00 beta=60.00 gamma=60.00
Last column: nearest neighbours and their distance in Å.
Fractional coordinates of all 4 atoms:
Be 0.0000 0.0000 0.0000  4 Pt 2.69, 4 Pb 2.69
Ni 0.5000 0.5000 0.5000  4 Pt 2.69, 4 Pb 2.69
Pt 0.7500 0.7500 0.7500  4 Ni 2.69, 4 Be 2.69
Pb 0.2500 0.2500 0.2500  4 Be 2.69, 4 Ni 2.69

# 7
SrBeNiPb after structural relaxation. Source: OQMD, functional PBE-GGA.

Relative energy among the computed polymorphs in meV/atom: 0.0

Unit cell a=4.8327 b=4.8327 c=4.8327 alpha=60.00 beta=60.00 gamma=60.00
Last column: nearest neighbours and their distance in Å.
Fractional coordinates of all 4 atoms:
Sr 0.0000 0.0000 0.0000  4 Ni 2.96, 4 Be 2.96
Be 0.2500 0.2500 0.2500  4 Pb 2.96, 4 Sr 2.96
Ni 0.7500 0.7500 0.7500  4 Pb 2.96, 4 Sr 2.96
Pb 0.5000 0.5000 0.5000  4 Ni 2.96, 4 Be 2.96

# 8
SrBeNiPb after structural relaxation. Source: OQMD, functional PBE-GGA.

Relative energy among the computed polymorphs in meV/atom: 176.3

Unit cell a=4.9208 b=4.9208 c=4.9208 alpha=60.00 beta=60.00 gamma=60.00
Last column: nearest neighbours and their distance in Å.
Fractional coordinates of all 4 atoms:
Sr 0.0000 0.0000 0.0000  4 Pb 3.01, 4 Ni 3.01
Be 0.5000 0.5000 0.5000  4 Pb 3.01, 4 Ni 3.01
Ni 0.2500 0.2500 0.2500  4 Be 3.01, 4 Sr 3.01
Pb 0.7500 0.7500 0.7500  4 Be 3.01, 4 Sr 3.01

no.,total magnetization (μB per formula unit),E_tot (eV per atom)
1,0.00,-5.06
2,0.01,-3.71
3,0.00,-3.40
4,0.00,-3.60
5,0.00,-4.62
6,0.00,-4.63
7,0.00,-3.38
8,0.03,-3.21